RePPd3 (PBE-GGA, optimized geometry); distance to the lowest polymorph of the same formula = 0.867 eV/atom; total magnetic moment = 0.00 μB/f.u.; DOS at the Fermi energy = 7.21 states/eV/cell; E_form = 1.54 eV/atom
1.0
4.782 0.000 0.000
0.000 4.782 0.000
0.000 0.000 4.782
Re P Pd
1 1 3
direct
0.000 0.000 0.000 Re
0.500 0.500 0.500 P
0.000 0.000 0.500 Pd
0.000 0.500 0.000 Pd
0.500 0.000 0.000 Pd

=====

RePPd2 (PBE-GGA, optimized geometry); total magnetic moment = 1.01 μB/f.u.; DOS at the Fermi energy = 7.94 states/eV/cell; E_form = 0.40 eV/atom
1.0
-1.823 1.823 9.348
1.823 -1.823 9.348
1.823 1.823 -9.348
Re P Pd
2 2 4
direct
0.000 0.000 0.000 Re
0.750 0.250 0.500 Re
0.250 0.750 0.500 P
0.500 0.500 0.000 P
0.128 0.625 0.003 Pd
0.375 0.378 0.503 Pd
0.622 0.125 0.997 Pd
0.875 0.872 0.497 Pd

=====

RePPdS2 (PBE-GGA, optimized geometry); distance to the lowest polymorph of the same formula = 1.062 eV/atom; total magnetic moment = 0.00 μB/f.u.; DOS at the Fermi energy = 6.79 states/eV/cell; uncorrected formation energy = 1714 meV per atom
1.0
4.506 0.000 0.000
0.000 4.506 0.000
0.000 0.000 4.981
Re P Pd S
1 1 1 2
direct
0.000 0.000 0.000 Re
0.500 0.500 0.000 P
0.000 0.000 0.500 Pd
0.000 0.500 0.500 S
0.500 0.000 0.500 S

=====

RePPdS2 (PBE-GGA, optimized geometry); distance to the lowest polymorph of the same formula = 0.000 eV/atom; total magnetic moment = 0.00 μB/f.u.; DOS at the Fermi energy = 5.43 states/eV/cell; uncorrected formation energy = 651 meV per atom
1.0
4.572 0.000 0.000
0.000 4.572 0.000
0.000 0.000 4.721
Re P Pd S
1 1 1 2
direct
0.000 0.000 0.000 Re
0.000 0.000 0.500 P
0.500 0.500 0.500 Pd
0.000 0.500 0.000 S
0.500 0.000 0.000 S

=====

RePPdS2 (PBE-GGA, optimized geometry); distance to the lowest polymorph of the same formula = 0.744 eV/atom; total magnetic moment = 2.92 μB/f.u.; DOS at the Fermi energy = 3.41 states/eV/cell; uncorrected formation energy = 1395 meV per atom
1.0
4.642 0.000 0.000
0.000 4.642 0.000
0.000 0.000 4.611
Re P Pd S
1 1 1 2
direct
0.000 0.000 0.000 Re
0.500 0.500 0.000 P
0.500 0.500 0.500 Pd
0.000 0.500 0.500 S
0.500 0.000 0.500 S

=====

SrRePPd2 (PBE-GGA, optimized geometry); total magnetic moment = 0.00 μB/f.u.; DOS at the Fermi energy = 5.92 states/eV/cell; E_form = 1.14 eV/atom
1.0
4.759 0.000 0.000
0.000 4.759 0.000
0.000 0.000 5.912
Sr Re P Pd
1 1 1 2
direct
0.000 0.000 0.000 Sr
0.000 0.000 0.500 Re
0.500 0.500 0.000 P
0.000 0.500 0.500 Pd
0.500 0.000 0.500 Pd

=====

ReTePPd2 (PBE-GGA, optimized geometry); total magnetic moment = 3.49 μB/f.u.; DOS at the Fermi energy = 3.73 states/eV/cell; uncorrected formation energy = 967 meV per atom
1.0
4.420 0.000 0.000
0.000 4.420 0.000
0.000 0.000 5.350
Re Te P Pd
1 1 1 2
direct
0.000 0.000 0.000 Re
0.500 0.500 0.000 Te
0.500 0.500 0.500 P
0.000 0.500 0.500 Pd
0.500 0.000 0.500 Pd

=====

Ti2RePPd (PBE-GGA, optimized geometry); total magnetic moment = 0.00 μB/f.u.; DOS at the Fermi energy = 3.33 states/eV/cell; E_form = 0.09 eV/atom
1.0
4.500 0.000 0.000
0.000 4.500 0.000
0.000 0.000 4.320
Ti Re P Pd
2 1 1 1
direct
0.000 0.500 0.000 Ti
0.500 0.000 0.000 Ti
0.000 0.000 0.500 Re
0.000 0.000 0.000 P
0.500 0.500 0.500 Pd

=====

VReP2Pd (PBE-GGA, optimized geometry); total magnetic moment = 0.06 μB/f.u.; DOS at the Fermi energy = 5.18 states/eV/cell; E_form = 0.87 eV/atom
1.0
4.519 0.000 0.000
0.000 4.519 0.000
0.000 0.000 4.775
V Re P Pd
1 1 2 1
direct
0.000 0.000 0.000 V
0.000 0.000 0.500 Re
0.000 0.500 0.500 P
0.500 0.000 0.500 P
0.500 0.500 0.000 Pd

=====

VRe2PPd (PBE-GGA, optimized geometry); total magnetic moment = 0.97 μB/f.u.; DOS at the Fermi energy = 9.48 states/eV/cell; E_form = 0.81 eV/atom
1.0
4.402 0.000 0.000
0.000 4.402 0.000
0.000 0.000 4.331
V Re P Pd
1 2 1 1
direct
0.000 0.000 0.000 V
0.000 0.500 0.500 Re
0.500 0.000 0.500 Re
0.500 0.500 0.500 P
0.500 0.500 0.000 Pd

=====

P2PdRh2 (PBE-GGA, optimized geometry); distance to the lowest polymorph of the same formula = 0.000 eV/atom; total magnetic moment = 0.00 μB/f.u.; DOS at the Fermi energy = 6.30 states/eV/cell; E_form = -0.38 eV/atom
1.0
6.811 0.000 0.000
0.000 6.811 0.000
0.000 0.000 2.977
P Pd Rh
4 2 4
direct
0.150 0.350 0.000 P
0.350 0.850 0.000 P
0.650 0.150 0.000 P
0.850 0.650 0.000 P
0.000 0.000 0.000 Pd
0.500 0.500 0.000 Pd
0.143 0.643 0.500 Rh
0.357 0.143 0.500 Rh
0.643 0.857 0.500 Rh
0.857 0.357 0.500 Rh

=====

PPdRh (PBE-GGA, optimized geometry); total magnetic moment = 0.00 μB/f.u.; DOS at the Fermi energy = 6.36 states/eV/cell; E_form = -0.46 eV/atom
1.0
7.028 0.000 0.000
0.000 5.954 0.000
-1.356 0.000 4.347
P Pd Rh
4 4 4
direct
0.215 0.022 0.345 P
0.215 0.478 0.845 P
0.785 0.522 0.155 P
0.785 0.978 0.655 P
0.478 0.625 0.238 Pd
0.478 0.875 0.738 Pd
0.522 0.125 0.262 Pd
0.522 0.375 0.762 Pd
0.112 0.097 0.802 Rh
0.112 0.403 0.302 Rh
0.888 0.597 0.698 Rh
0.888 0.903 0.198 Rh

=====

P2PdRh2 (PBE-GGA, optimized geometry); distance to the lowest polymorph of the same formula = 0.147 eV/atom; total magnetic moment = 0.00 μB/f.u.; DOS at the Fermi energy = 2.64 states/eV/cell; E_form = -0.24 eV/atom
1.0
-1.841 1.841 5.551
1.841 -1.841 5.551
1.841 1.841 -5.551
P Pd Rh
2 1 2
direct
0.250 0.750 0.500 P
0.750 0.250 0.500 P
0.000 0.000 0.000 Pd
0.377 0.377 0.000 Rh
0.623 0.623 0.000 Rh

=====

PPd3Rh (PBE-GGA, optimized geometry); distance to the lowest polymorph of the same formula = 0.000 eV/atom; total magnetic moment = 1.40 μB/f.u.; DOS at the Fermi energy = 9.51 states/eV/cell; E_form = 0.26 eV/atom
1.0
4.437 0.000 0.000
0.000 4.437 0.000
0.000 0.000 4.437
P Pd Rh
1 3 1
direct
0.000 0.000 0.000 P
0.000 0.000 0.500 Pd
0.000 0.500 0.000 Pd
0.500 0.000 0.000 Pd
0.500 0.500 0.500 Rh

=====

PPdRh (PBE-GGA, optimized geometry); total magnetic moment = 0.00 μB/f.u.; DOS at the Fermi energy = 1.44 states/eV/cell; E_form = -0.57 eV/atom
1.0
0.000 2.815 2.815
2.815 0.000 2.815
2.815 2.815 0.000
P Pd Rh
1 1 1
direct
0.000 0.000 0.000 P
0.750 0.750 0.750 Pd
0.250 0.250 0.250 Rh

=====

PPdRh2 (PBE-GGA, optimized geometry); total magnetic moment = 0.00 μB/f.u.; DOS at the Fermi energy = 6.02 states/eV/cell; E_form = -0.31 eV/atom
1.0
-3.439 3.439 2.532
3.439 -3.439 2.532
3.439 3.439 -2.532
P Pd Rh
2 2 4
direct
0.000 0.000 0.000 P
0.750 0.250 0.500 P
0.250 0.750 0.500 Pd
0.500 0.500 0.000 Pd
0.063 0.625 0.938 Rh
0.375 0.313 0.438 Rh
0.687 0.125 0.062 Rh
0.875 0.937 0.562 Rh

=====

PPdRh3 (PBE-GGA, optimized geometry); total magnetic moment = 3.43 μB/f.u.; DOS at the Fermi energy = 9.00 states/eV/cell; E_form = 1.77 eV/atom
1.0
4.722 0.000 0.000
0.000 4.722 0.000
0.000 0.000 4.722
P Pd Rh
1 1 3
direct
0.000 0.000 0.000 P
0.500 0.500 0.500 Pd
0.000 0.500 0.500 Rh
0.500 0.000 0.500 Rh
0.500 0.500 0.000 Rh

=====

PPd2Rh (PBE-GGA, optimized geometry); total magnetic moment = 0.00 μB/f.u.; DOS at the Fermi energy = 5.55 states/eV/cell; E_form = 0.05 eV/atom
1.0
-1.827 1.827 9.201
1.827 -1.827 9.201
1.827 1.827 -9.201
P Pd Rh
2 4 2
direct
0.000 0.000 0.000 P
0.750 0.250 0.500 P
0.120 0.625 0.995 Pd
0.375 0.370 0.495 Pd
0.630 0.125 0.005 Pd
0.875 0.880 0.505 Pd
0.250 0.750 0.500 Rh
0.500 0.500 0.000 Rh

=====

PPd3Rh (PBE-GGA, optimized geometry); distance to the lowest polymorph of the same formula = 1.130 eV/atom; total magnetic moment = 1.97 μB/f.u.; DOS at the Fermi energy = 7.19 states/eV/cell; E_form = 1.39 eV/atom
1.0
4.775 0.000 0.000
0.000 4.775 0.000
0.000 0.000 4.775
P Pd Rh
1 3 1
direct
0.000 0.000 0.000 P
0.000 0.500 0.500 Pd
0.500 0.000 0.500 Pd
0.500 0.500 0.000 Pd
0.500 0.500 0.500 Rh

=====

P2PdRhS (PBE-GGA, optimized geometry); distance to the lowest polymorph of the same formula = 0.000 eV/atom; total magnetic moment = 0.00 μB/f.u.; DOS at the Fermi energy = 4.14 states/eV/cell; uncorrected formation energy = 677 meV per atom
1.0
4.450 0.000 0.000
0.000 4.450 0.000
0.000 0.000 4.916
P Pd Rh S
2 1 1 1
direct
0.000 0.500 0.000 P
0.500 0.000 0.000 P
0.000 0.000 0.500 Pd
0.500 0.500 0.000 Rh
0.500 0.500 0.500 S

=====

P2PdRhS (PBE-GGA, optimized geometry); distance to the lowest polymorph of the same formula = 0.326 eV/atom; total magnetic moment = 0.00 μB/f.u.; DOS at the Fermi energy = 3.69 states/eV/cell; uncorrected formation energy = 1003 meV per atom
1.0
4.523 0.000 0.000
0.000 4.523 0.000
0.000 0.000 4.766
P Pd Rh S
2 1 1 1
direct
0.000 0.500 0.000 P
0.500 0.000 0.000 P
0.000 0.000 0.000 Pd
0.500 0.500 0.500 Rh
0.000 0.000 0.500 S

=====

Sm3P2PdRh9 (PBE-GGA, optimized geometry); total magnetic moment = 0.00 μB/f.u.; DOS at the Fermi energy = 12.25 states/eV/cell; E_form = -0.51 eV/atom
1.0
6.009 0.000 0.000
-3.005 5.204 0.000
0.000 0.000 9.121
Sm P Pd Rh
3 2 1 9
direct
0.000 0.000 0.000 Sm
0.333 0.667 0.653 Sm
0.667 0.333 0.347 Sm
0.333 0.667 0.160 P
0.667 0.333 0.840 P
0.000 0.000 0.500 Pd
0.000 0.500 0.000 Rh
0.152 0.303 0.276 Rh
0.152 0.848 0.276 Rh
0.303 0.152 0.724 Rh
0.500 0.000 0.000 Rh
0.500 0.500 0.000 Rh
0.697 0.848 0.276 Rh
0.848 0.152 0.724 Rh
0.848 0.697 0.724 Rh

=====

SrPPd2Rh (PBE-GGA, optimized geometry); total magnetic moment = 0.00 μB/f.u.; DOS at the Fermi energy = 3.58 states/eV/cell; E_form = -0.60 eV/atom
1.0
4.673 0.000 0.000
0.000 4.673 0.000
0.000 0.000 4.501
Sr P Pd Rh
1 1 2 1
direct
0.000 0.000 0.000 Sr
0.500 0.500 0.500 P
0.000 0.500 0.500 Pd
0.500 0.000 0.500 Pd
0.500 0.500 0.000 Rh

=====

Tb3P2Pd2Rh5 (PBE-GGA, optimized geometry); total magnetic moment = 0.00 μB/f.u.; DOS at the Fermi energy = 6.29 states/eV/cell; E_form = -0.96 eV/atom
1.0
-1.996 1.996 13.151
1.996 -1.996 13.151
1.996 1.996 -13.151
Tb P Pd Rh
3 2 2 5
direct
0.000 0.000 0.000 Tb
0.168 0.168 0.000 Tb
0.832 0.832 0.000 Tb
0.372 0.372 0.000 P
0.628 0.628 0.000 P
0.280 0.280 0.000 Pd
0.720 0.720 0.000 Pd
0.083 0.583 0.500 Rh
0.417 0.917 0.500 Rh
0.500 0.500 0.000 Rh
0.583 0.083 0.500 Rh
0.917 0.417 0.500 Rh

=====

Tb2P3PdRh4 (PBE-GGA, optimized geometry); total magnetic moment = 0.00 μB/f.u.; DOS at the Fermi energy = 4.18 states/eV/cell; E_form = -0.95 eV/atom
1.0
4.021 0.000 0.000
0.000 4.021 0.000
0.000 0.000 10.313
Tb P Pd Rh
2 3 1 4
direct
0.000 0.500 0.241 Tb
0.500 0.000 0.759 Tb
0.000 0.000 0.000 P
0.000 0.500 0.629 P
0.500 0.000 0.371 P
0.500 0.500 0.000 Pd
0.000 0.000 0.500 Rh
0.000 0.500 0.844 Rh
0.500 0.000 0.156 Rh
0.500 0.500 0.500 Rh

=====

TcPPd2Rh (PBE-GGA, optimized geometry); total magnetic moment = 4.76 μB/f.u.; DOS at the Fermi energy = 5.85 states/eV/cell; E_form = 0.41 eV/atom
1.0
4.485 0.000 0.000
0.000 4.485 0.000
0.000 0.000 4.387
Tc P Pd Rh
1 1 2 1
direct
0.000 0.000 0.000 Tc
0.500 0.500 0.500 P
0.000 0.500 0.500 Pd
0.500 0.000 0.500 Pd
0.500 0.500 0.000 Rh